Record 1
The following is a PBE calculation of a relaxed structure of CeNd2Pu, from Alexandria.

Calculated values
Magnetic moment = 1.28 μB/atom
Energy of formation = 0.1765 eV/atom

a = 3.5711 Å, b = 3.5711 Å, c = 35.1278 Å
α = 90.00°, β = 90.00°, γ = 120.00°
Space group R3m (No. 160, hexagonal axes)
Symmetry-distinct sites (fractional):
Ce1 0.0000 0.0000 0.0000 x3
Nd1 0.0000 0.0000 0.2490 x3
Nd2 0.0000 0.0000 0.4180 x3
Pu1 0.0000 0.0000 0.8335 x3

Record 2
The following is a PBE calculation of a relaxed structure of Ce2NdPu, from Alexandria.

Calculated values
Magnetic moment = 1.19 μB/atom
Energy of formation = 0.1158 eV/atom

a = 3.4020 Å, b = 3.4020 Å, c = 9.7904 Å
α = 90.00°, β = 90.00°, γ = 90.00°
Space group P4/mmm (No. 123)
Symmetry-distinct sites (fractional):
Ce1 0.0000 0.0000 0.2222 x2
Nd1 0.5000 0.5000 0.5000 x1
Pu1 0.5000 0.5000 0.0000 x1

Record 3
The following is a PBE calculation of a relaxed structure of CeNd14Pu, from Alexandria.

Calculated values
Magnetic moment = 0.51 μB/atom
Energy of formation = 0.0749 eV/atom

a = 11.8660 Å, b = 7.3404 Å, c = 12.8115 Å
α = 90.00°, β = 90.00°, γ = 90.00°
Space group Amm2 (No. 38)
Symmetry-distinct sites (fractional):
Ce1 0.0000 0.0000 0.0000 x2
Nd1 0.0000 0.2483 0.2481 x4
Nd2 0.2451 0.2500 0.4148 x8
Nd3 0.2468 0.0000 0.6619 x4
Nd4 0.2495 0.0000 0.1629 x4
Nd5 0.5000 0.0000 0.4980 x2
Nd6 0.5000 0.0000 0.9984 x2
Nd7 0.5000 0.2504 0.2486 x4
Pu1 0.0000 0.0000 0.4980 x2

Record 4
The following is a PBE calculation of a relaxed structure of CeNdPu2, from Alexandria.

Calculated values
Magnetic moment = 3.10 μB/atom
Energy of formation = 0.2115 eV/atom

a = 4.8898 Å, b = 4.8898 Å, c = 4.8158 Å
α = 90.00°, β = 90.00°, γ = 90.00°
Space group P4/mmm (No. 123)
Symmetry-distinct sites (fractional):
Ce1 0.0000 0.0000 0.0000 x1
Nd1 0.5000 0.5000 0.0000 x1
Pu1 0.0000 0.5000 0.5000 x2

Record 5
The following is a PBE calculation of a relaxed structure of CeNdPu2, from Alexandria.

Calculated values
Magnetic moment = 2.77 μB/atom
Energy of formation = 0.1712 eV/atom

a = 3.3874 Å, b = 3.3874 Å, c = 9.6096 Å
α = 90.00°, β = 90.00°, γ = 90.00°
Space group P4/mmm (No. 123)
Symmetry-distinct sites (fractional):
Ce1 0.0000 0.0000 0.0000 x1
Nd1 0.0000 0.0000 0.5000 x1
Pu1 0.5000 0.5000 0.2247 x2

Record 6
The following is a PBE calculation of a relaxed structure of CeNd2Pu, from Alexandria.

Calculated values
Magnetic moment = 1.79 μB/atom
Energy of formation = 0.1632 eV/atom

a = 4.8907 Å, b = 4.8907 Å, c = 5.2244 Å
α = 90.00°, β = 90.00°, γ = 90.00°
Space group P4/mmm (No. 123)
Symmetry-distinct sites (fractional):
Ce1 0.0000 0.0000 0.0000 x1
Nd1 0.0000 0.5000 0.5000 x2
Pu1 0.5000 0.5000 0.0000 x1

Record 7
The following is a PBE calculation of a relaxed structure of Ce2NdPu, from Alexandria.

Calculated values
Magnetic moment = 0.37 μB/atom
Energy of formation = 0.4351 eV/atom

a = 3.5823 Å, b = 3.5823 Å, c = 30.1674 Å
α = 90.00°, β = 90.00°, γ = 120.00°
Space group R-3m (No. 166, hexagonal axes)
Symmetry-distinct sites (fractional):
Ce1 0.0000 0.0000 0.1143 x6
Nd1 0.0000 0.0000 0.0000 x3
Pu1 0.0000 0.0000 0.5000 x3

Record 8
The following is a PBE calculation of a relaxed structure of Ce2NdPu, from Alexandria.

Calculated values
Magnetic moment = 0.00 μB/atom
Energy of formation = 0.3382 eV/atom

a = 3.6527 Å, b = 3.6527 Å, c = 28.4007 Å
α = 90.00°, β = 90.00°, γ = 120.00°
Space group R3m (No. 160, hexagonal axes)
Symmetry-distinct sites (fractional):
Ce1 0.0000 0.0000 0.0000 x3
Ce2 0.0000 0.0000 0.1086 x3
Nd1 0.0000 0.0000 0.5493 x3
Pu1 0.0000 0.0000 0.3883 x3

Record 9
The following is a PBE calculation of a relaxed structure of Ce2NdPuS4, from Alexandria.

Calculated values
Magnetic moment = 0.55 μB/atom
Raw formation energy = -45.54 kcal/mol of atoms

a = 6.9426 Å, b = 4.0046 Å, c = 6.9891 Å
α = 90.00°, β = 109.33°, γ = 90.00°
Space group P2/m (No. 10)
Symmetry-distinct sites (fractional):
Ce1 0.0000 0.0000 0.0000 x1
Ce2 0.5000 0.5000 0.0000 x1
Nd1 0.0000 0.5000 0.5000 x1
Pu1 0.5000 0.0000 0.5000 x1
S1 0.2543 0.0000 0.7500 x2
S2 0.2560 0.5000 0.2541 x2

Record 10
The following is a PBE calculation of a relaxed structure of Ce4NdPu3S8, from Alexandria.

Calculated values
Magnetic moment = 0.40 μB/atom
Raw formation energy = -44.80 kcal/mol of atoms

a = 13.8410 Å, b = 7.9873 Å, c = 8.0058 Å
α = 90.00°, β = 125.11°, γ = 90.00°
Space group C2/m (No. 12)
Symmetry-distinct sites (fractional):
Ce1 0.0000 0.0000 0.0000 x2
Ce2 0.0000 0.5000 0.0000 x2
Ce3 0.2500 0.2500 0.5000 x4
Nd1 0.0000 0.0000 0.5000 x2
Pu1 0.0000 0.5000 0.5000 x2
Pu2 0.2500 0.2500 0.0000 x4
S1 0.0020 0.2531 0.7512 x8
S2 0.2481 0.5000 0.7528 x4
S3 0.2489 0.5000 0.2435 x4

Record 11
The following is a PBE calculation of a relaxed structure of CeNd4Pu3S8, from Alexandria.

Calculated values
Magnetic moment = 1.09 μB/atom
Raw formation energy = -44.86 kcal/mol of atoms

a = 8.0280 Å, b = 8.0280 Å, c = 19.7783 Å
α = 90.00°, β = 90.00°, γ = 120.00°
Space group R-3m (No. 166, hexagonal axes)
Symmetry-distinct sites (fractional):
Ce1 0.0000 0.0000 0.0000 x3
Nd1 0.0000 0.0000 0.5000 x3
Nd2 0.0000 0.5000 0.5000 x9
Pu1 0.0000 0.5000 0.0000 x9
S1 0.0000 0.0000 0.2537 x6
S2 0.0029 0.5014 0.2528 x18

Record 12
The following is a PBE calculation of a relaxed structure of CeNd2PuS4, from Alexandria.

Calculated values
Magnetic moment = 0.80 μB/atom
Raw formation energy = -45.60 kcal/mol of atoms

a = 6.9853 Å, b = 4.0189 Å, c = 6.9993 Å
α = 90.00°, β = 109.33°, γ = 90.00°
Space group P2/m (No. 10)
Symmetry-distinct sites (fractional):
Ce1 0.0000 0.0000 0.0000 x1
Nd1 0.0000 0.5000 0.5000 x1
Nd2 0.5000 0.0000 0.5000 x1
Pu1 0.5000 0.5000 0.0000 x1
S1 0.2509 0.5000 0.2444 x2
S2 0.2554 0.0000 0.7581 x2

Record 13
The following is a PBE calculation of a relaxed structure of CeNdPu2S4, from Alexandria.

Calculated values
Magnetic moment = 1.50 μB/atom
Raw formation energy = -44.12 kcal/mol of atoms

a = 6.9297 Å, b = 3.9935 Å, c = 6.9360 Å
α = 90.00°, β = 109.34°, γ = 90.00°
Space group P2/m (No. 10)
Symmetry-distinct sites (fractional):
Ce1 0.0000 0.0000 0.0000 x1
Nd1 0.5000 0.5000 0.0000 x1
Pu1 0.0000 0.5000 0.5000 x1
Pu2 0.5000 0.0000 0.5000 x1
S1 0.2451 0.0000 0.7402 x2
S2 0.2517 0.5000 0.2593 x2

Calculated density of states at the Fermi level in order - 3.46 2.79 2.12 3.35 3.55 3.17 2.54 1.89 1.89 2.04 1.73 1.53 2.11 states/eV per atom